# PBE with a Hubbard U Na2CoO2, relaxed
# - electronic total energy (eV/atom) = -4.724
data_Na2CoO2
_chemical_formula_sum 'Na8 Co4 O8'
_symmetry_space_group_name_H-M 'P 1 21/c 1'
_symmetry_Int_Tables_number 14
_cell_length_a 7.649
_cell_length_b 5.955
_cell_length_c 5.705
_cell_angle_alpha 90.00
_cell_angle_beta 95.11
_cell_angle_gamma 90.00
loop_
_symmetry_equiv_pos_as_xyz
'x,y,z'
'-x,-y,-z'
'-x,y+1/2,-z+1/2'
'x,-y+1/2,z+1/2'
loop_
_atom_site_label
_atom_site_fract_x
_atom_site_fract_y
_atom_site_fract_z
Na1 0.030 0.240 0.010
Na2 0.322 0.646 0.930
Co1 0.365 0.109 0.853
O1 0.147 0.535 0.251
O2 0.436 0.117 0.198